1.
MnCdN2 | the Alexandria database | PBE | optimized geometry; total magnetic moment = 0.00 μB/cell; SG = No. 122; V = 12.84 A^3/atom; formation energy from raw total energies = 13.27 kJ per mole of atoms
1.0
4.899 0.000 0.000
0.000 4.899 0.000
2.449 2.449 4.281
Mn N Cd
2 4 2
direct
0.500 0.500 0.000 Mn
0.250 0.750 0.500 Mn
0.375 0.466 0.750 N
0.875 0.784 0.750 N
0.216 0.625 0.250 N
0.534 0.125 0.250 N
0.000 0.000 0.000 Cd
0.750 0.250 0.500 Cd

---

2.
IrPt2Br | the Alexandria database | PBE | optimized geometry; total magnetic moment = 0.00 μB/cell; SG = No. 44; V = 16.64 A^3/atom; formation energy from raw total energies = 81.34 kJ per mole of atoms
1.0
4.550 -0.019 -0.001
0.020 4.550 -0.001
-2.285 -2.266 3.217
Pt Br Ir
2 1 1
direct
0.000 0.000 0.000 Pt
0.251 0.749 0.500 Pt
0.500 0.500 0.000 Br
0.749 0.251 0.500 Ir

---

3.
LiCa4Ac3Te8 | the Alexandria database | PBE | optimized geometry; total magnetic moment = 0.00 μB/cell; SG = No. 166; V = 34.40 A^3/atom; formation energy from raw total energies = -146.58 kJ per mole of atoms
1.0
9.175 0.000 0.000
0.000 9.222 0.027
-4.588 -4.583 6.492
Ca Te Ac Li
4 8 3 1
direct
0.500 0.000 0.500 Ca
0.000 0.000 0.000 Ca
0.000 0.000 0.500 Ca
0.500 0.000 0.000 Ca
0.762 0.759 0.011 Te
0.751 0.241 0.989 Te
0.249 0.759 0.497 Te
0.756 0.768 0.512 Te
0.249 0.759 0.011 Te
0.751 0.241 0.503 Te
0.244 0.232 0.488 Te
0.238 0.241 0.989 Te
0.000 0.500 0.500 Ac
0.500 0.500 0.500 Ac
0.500 0.500 0.000 Ac
0.000 0.500 0.000 Li

---

4.
NpCuAg2S4 | the Alexandria database | PBE | optimized geometry; total magnetic moment = 2.97 μB/cell; SG = No. 82; V = 19.42 A^3/atom; formation energy from raw total energies = -40.05 kJ per mole of atoms
1.0
-2.684 4.056 -3.279
-1.119 -5.343 -2.148
-1.976 0.284 5.516
S Cu Ag Np
4 1 2 1
direct
0.525 0.330 0.253 S
0.076 0.747 0.272 S
0.475 0.728 0.805 S
0.924 0.195 0.670 S
0.000 0.500 0.500 Cu
0.500 0.750 0.250 Ag
0.000 0.000 0.000 Ag
0.500 0.250 0.750 Np

---

5.
KRb2In2 | the Alexandria database | PBE | optimized geometry; DFT formation energy = 78.0 meV/atom; total magnetic moment = 0.00 μB/cell; SG = No. 139; V = 52.84 A^3/atom
1.0
5.790 0.000 0.000
0.000 5.790 0.000
2.895 2.895 7.880
K In Rb
1 2 2
direct
0.000 0.000 0.000 K
0.589 0.589 0.822 In
0.411 0.411 0.178 In
0.250 0.750 0.500 Rb
0.750 0.250 0.500 Rb

---

6.
SeI2N | the Alexandria database | PBE | optimized geometry; total magnetic moment = 3.72 μB/cell; SG = No. 141; V = 34.61 A^3/atom; formation energy from raw total energies = 120.80 kJ per mole of atoms
1.0
7.290 0.000 0.000
0.000 7.290 0.000
3.645 3.645 5.210
N I Se
2 4 2
direct
0.500 0.500 0.000 N
0.250 0.750 0.500 N
0.375 0.625 0.750 I
0.375 0.125 0.250 I
0.375 0.625 0.250 I
0.875 0.625 0.750 I
0.000 0.000 0.000 Se
0.750 0.250 0.500 Se